No. 1
The following is a PBEsol calculation of crystalline TcP2Os at its relaxed geometry, from Alexandria.

Cell: 7.4877 7.4877 7.4877 Å, 22.06 22.06 22.06°
With the nearest neighbours (Å) after each atom.
Element x y z (fractional)
Tc 0.0000 0.0000 0.0000  6 P 2.45
P 0.2512 0.2512 0.2512  3 Tc 2.45, 3 Os 2.48
P 0.7488 0.7488 0.7488  3 Tc 2.45, 3 Os 2.48
Os 0.5000 0.5000 0.5000  6 P 2.48

Values from the calculation:
* calculated volume: 51.9 Å³/cell
* calculated formation energy: -17.4 kJ/mol of atoms
* raw total energy: -8.95 eV per atom
* total magnetization: 0.000 μB/f.u.


No. 2
The following is a PBEsol calculation of crystalline LiTbIn2 at its relaxed geometry, from Alexandria.

Cell: 5.0515 5.0515 5.0515 Å, 60.00 60.00 60.00°
With the nearest neighbours (Å) after each atom.
Element x y z (fractional)
Li 0.0000 0.0000 0.0000  8 In 3.09
Tb 0.5000 0.5000 0.5000  8 In 3.09
In 0.2500 0.2500 0.2500  4 Tb 3.09, 4 Li 3.09
In 0.7500 0.7500 0.7500  4 Li 3.09, 4 Tb 3.09

Values from the calculation:
* calculated volume: 91.1 Å³/cell
* calculated formation energy: -41.8 kJ/mol of atoms
* raw total energy: -3.67 eV per atom
* total magnetization: 0.000 μB/f.u.


No. 3
The following is a PBEsol calculation of crystalline AlSi2W at its relaxed geometry, from Alexandria.

Cell: 4.3135 4.3135 4.3135 Å, 60.00 60.00 60.00°
With the nearest neighbours (Å) after each atom.
Element x y z (fractional)
Al 0.0000 0.0000 0.0000  4 W 2.64, 4 Si 2.64
Si 0.2500 0.2500 0.2500  4 Si 2.64, 4 Al 2.64
Si 0.5000 0.5000 0.5000  4 W 2.64, 4 Si 2.64
W 0.7500 0.7500 0.7500  4 Si 2.64, 4 Al 2.64

Values from the calculation:
* calculated volume: 56.8 Å³/cell
* raw total energy: -6.89 eV per atom
* total magnetization: 0.000 μB/f.u.


No. 4
The following is a PBEsol calculation of crystalline Tl12Hg17 at its relaxed geometry, from Alexandria.

Cell: 9.9598 9.9598 9.9598 Å, 109.47 109.47 109.47°
With the nearest neighbours (Å) after each atom.
Element x y z (fractional)
Tl 0.0000 0.6044 0.8032  7 Hg 3.10-3.48, 3 Tl 3.20-3.23
Tl 0.0000 0.8032 0.6044  7 Hg 3.10-3.48, 3 Tl 3.20-3.23
Tl 0.1968 0.1968 0.8013  7 Hg 3.10-3.48, 3 Tl 3.20-3.23
Tl 0.1968 0.8013 0.1968  7 Hg 3.10-3.48, 3 Tl 3.20-3.23
Tl 0.1987 0.3956 0.3956  7 Hg 3.10-3.48, 3 Tl 3.20-3.23
Tl 0.3956 0.1987 0.3956  7 Hg 3.10-3.48, 3 Tl 3.20-3.23
Tl 0.3956 0.3956 0.1987  7 Hg 3.10-3.48, 3 Tl 3.20-3.23
Tl 0.6044 0.0000 0.8032  7 Hg 3.10-3.48, 3 Tl 3.20-3.23
Tl 0.6044 0.8032 0.0000  7 Hg 3.10-3.48, 3 Tl 3.20-3.23
Tl 0.8013 0.1968 0.1968  7 Hg 3.10-3.48, 3 Tl 3.20-3.23
Tl 0.8032 0.0000 0.6044  7 Hg 3.10-3.48, 3 Tl 3.20-3.23
Tl 0.8032 0.6044 0.0000  7 Hg 3.10-3.48, 3 Tl 3.20-3.23
Hg 0.0000 0.0000 0.0000  4 Hg 3.28
Hg 0.0000 0.0000 0.3296  4 Hg 3.19-3.28, 6 Tl 3.48
Hg 0.0000 0.3034 0.5741  5 Tl 3.10-3.19, 3 Hg 3.19-3.42
Hg 0.0000 0.3296 0.0000  4 Hg 3.19-3.28, 6 Tl 3.48
Hg 0.0000 0.5741 0.3034  5 Tl 3.10-3.19, 3 Hg 3.19-3.42
Hg 0.2707 0.6966 0.6966  5 Tl 3.10-3.19, 3 Hg 3.19-3.42
Hg 0.3034 0.0000 0.5741  5 Tl 3.10-3.19, 3 Hg 3.19-3.42
Hg 0.3034 0.5741 0.0000  5 Tl 3.10-3.19, 3 Hg 3.19-3.42
Hg 0.3296 0.0000 0.0000  4 Hg 3.19-3.28, 6 Tl 3.48
Hg 0.4259 0.4259 0.7293  5 Tl 3.10-3.19, 3 Hg 3.19-3.42
Hg 0.4259 0.7293 0.4259  5 Tl 3.10-3.19, 3 Hg 3.19-3.42
Hg 0.5741 0.0000 0.3034  5 Tl 3.10-3.19, 3 Hg 3.19-3.42
Hg 0.5741 0.3034 0.0000  5 Tl 3.10-3.19, 3 Hg 3.19-3.42
Hg 0.6704 0.6704 0.6704  4 Hg 3.19-3.28, 6 Tl 3.48
Hg 0.6966 0.2707 0.6966  5 Tl 3.10-3.19, 3 Hg 3.19-3.42
Hg 0.6966 0.6966 0.2707  5 Tl 3.10-3.19, 3 Hg 3.19-3.42
Hg 0.7293 0.4259 0.4259  5 Tl 3.10-3.19, 3 Hg 3.19-3.42

Values from the calculation:
* calculated volume: 760.6 Å³/cell
* calculated formation energy: 2.8 kJ/mol of atoms
* raw total energy: -1.39 eV per atom
* total magnetization: 0.000 μB/f.u.


No. 5
The following is a PBEsol calculation of crystalline Li4P2O7 at its relaxed geometry, from Alexandria.

Cell: 5.1836 13.8710 9.4200 Å, 90.00 123.18 90.00°
With the nearest neighbours (Å) after each atom.
Element x y z (fractional)
Li 0.1007 0.1074 0.4324  4 O 1.86-2.04
Li 0.1007 0.3926 0.9324  4 O 1.86-2.04
Li 0.1449 0.7186 0.9476  4 O 1.92-2.01
Li 0.1449 0.7814 0.4476  4 O 1.92-2.01
Li 0.2562 0.1746 0.9530  4 O 1.91-1.99
Li 0.2562 0.3254 0.4530  4 O 1.91-1.99
Li 0.2612 0.5581 0.4399  4 O 1.88-1.98
Li 0.2612 0.9419 0.9399  4 O 1.88-1.98
Li 0.7388 0.0581 0.0601  4 O 1.88-1.98
Li 0.7388 0.4419 0.5601  4 O 1.88-1.98
Li 0.7438 0.6746 0.5470  4 O 1.91-1.99
Li 0.7438 0.8254 0.0470  4 O 1.91-1.99
Li 0.8551 0.2186 0.5524  4 O 1.92-2.01
Li 0.8551 0.2814 0.0524  4 O 1.92-2.01
Li 0.8993 0.6074 0.0676  4 O 1.86-2.04
Li 0.8993 0.8926 0.5676  4 O 1.86-2.04
P 0.4355 0.0520 0.2636  4 O 1.51-1.64
P 0.4355 0.4480 0.7636  4 O 1.51-1.64
P 0.4437 0.6670 0.7616  4 O 1.52-1.64
P 0.4437 0.8330 0.2616  4 O 1.52-1.64
P 0.5563 0.1670 0.7384  4 O 1.52-1.64
P 0.5563 0.3330 0.2384  4 O 1.52-1.64
P 0.5645 0.5520 0.2364  4 O 1.51-1.64
P 0.5645 0.9480 0.7364  4 O 1.51-1.64
O 0.1379 0.0692 0.2550  1 P 1.52
O 0.1379 0.4308 0.7550  1 P 1.52
O 0.1449 0.6889 0.7486  1 P 1.52
O 0.1449 0.8111 0.2486  1 P 1.52
O 0.2773 0.2216 0.5956  1 P 1.53
O 0.2773 0.2784 0.0956  1 P 1.53
O 0.2950 0.6131 0.1069  1 P 1.51
O 0.2950 0.8869 0.6069  1 P 1.51
O 0.3861 0.0535 0.0872  1 P 1.54
O 0.3861 0.4465 0.5872  1 P 1.54
O 0.4090 0.6705 0.5893  1 P 1.53
O 0.4090 0.8295 0.0893  1 P 1.53
O 0.4469 0.0574 0.6639  2 P 1.64
O 0.4469 0.4426 0.1639  2 P 1.64
O 0.5531 0.5574 0.8361  2 P 1.64
O 0.5531 0.9426 0.3361  2 P 1.64
O 0.5910 0.1705 0.9107  1 P 1.53
O 0.5910 0.3295 0.4107  1 P 1.53
O 0.6139 0.5535 0.4128  1 P 1.54
O 0.6139 0.9465 0.9128  1 P 1.54
O 0.7050 0.1131 0.3931  1 P 1.51
O 0.7050 0.3869 0.8931  1 P 1.51
O 0.7227 0.7216 0.9044  1 P 1.53
O 0.7227 0.7784 0.4044  1 P 1.53
O 0.8551 0.1889 0.7514  1 P 1.52
O 0.8551 0.3111 0.2514  1 P 1.52
O 0.8621 0.5692 0.2450  1 P 1.52
O 0.8621 0.9308 0.7450  1 P 1.52

Values from the calculation:
* calculated volume: 566.9 Å³/cell
* raw total energy: -6.71 eV per atom
* total magnetization: 0.000 μB/f.u.


No. 6
The following is a PBEsol calculation of crystalline LiIrN2O at its relaxed geometry, from Alexandria.

Cell: 3.4705 3.4705 3.4798 Å, 90.00 90.00 90.00°
With the nearest neighbours (Å) after each atom.
Element x y z (fractional)
Li 0.0000 0.0000 0.0000  4 N 1.74, 2 O 1.74
Ir 0.5000 0.5000 0.5000  4 O 2.45, 8 N 2.46
N 0.0000 0.5000 0.0000  2 Li 1.74
N 0.5000 0.0000 0.0000  2 Li 1.74
O 0.0000 0.0000 0.5000  2 Li 1.74

Values from the calculation:
* calculated volume: 41.9 Å³/cell
* raw total energy: -5.23 eV per atom
* total magnetization: 0.000 μB/f.u.


No. 7
The following is a PBEsol calculation of crystalline Sc2SbSe at its relaxed geometry, from Alexandria.

Cell: 6.9144 6.9144 6.9144 Å, 33.12 33.12 33.12°
With the nearest neighbours (Å) after each atom.
Element x y z (fractional)
Sc 0.2441 0.2441 0.2441  3 Se 2.73, 3 Sb 2.87
Sc 0.7559 0.7559 0.7559  3 Se 2.73, 3 Sb 2.87
Sb 0.0000 0.0000 0.0000  6 Sc 2.87
Se 0.5000 0.5000 0.5000  6 Sc 2.73

Values from the calculation:
* calculated volume: 87.8 Å³/cell
* raw total energy: -6.73 eV per atom
* total magnetization: 0.000 μB/f.u.


No. 8
The following is a PBEsol calculation of crystalline MgCuAu2 at its relaxed geometry, from Alexandria.

Cell: 3.3714 3.3714 5.5776 Å, 90.00 90.00 90.00°
With the nearest neighbours (Å) after each atom.
Element x y z (fractional)
Mg 0.0000 0.0000 0.0000  6 Au 2.65-2.93, 4 Cu 2.80
Cu 0.5000 0.5000 0.7359  6 Au 2.66-2.80, 4 Mg 2.80
Au 0.0000 0.0000 0.5257  2 Mg 2.65-2.93, 4 Cu 2.66, 4 Au 2.88
Au 0.5000 0.5000 0.2373  4 Mg 2.73, 2 Cu 2.78-2.80, 4 Au 2.88

Values from the calculation:
* calculated volume: 63.4 Å³/cell
* calculated formation energy: -23.8 kJ/mol of atoms
* raw total energy: -3.72 eV per atom
* total magnetization: 0.000 μB/f.u.


No. 9
The following is a PBEsol calculation of crystalline Sr2CaAu2 at its relaxed geometry, from Alexandria.

Cell: 8.0859 8.0859 4.4796 Å, 90.00 90.00 90.00°
With the nearest neighbours (Å) after each atom.
Element x y z (fractional)
Sr 0.1652 0.3348 0.0000  6 Au 3.24-3.29
Sr 0.3348 0.8348 0.0000  6 Au 3.24-3.29
Sr 0.6652 0.1652 0.0000  6 Au 3.24-3.29
Sr 0.8348 0.6652 0.0000  6 Au 3.24-3.29
Ca 0.0000 0.0000 0.5000  4 Au 3.17
Ca 0.5000 0.5000 0.5000  4 Au 3.17
Au 0.1306 0.6306 0.5000  1 Au 2.99, 2 Ca 3.17, 6 Sr 3.24-3.29
Au 0.3694 0.1306 0.5000  1 Au 2.99, 2 Ca 3.17, 6 Sr 3.24-3.29
Au 0.6306 0.8694 0.5000  1 Au 2.99, 2 Ca 3.17, 6 Sr 3.24-3.29
Au 0.8694 0.3694 0.5000  1 Au 2.99, 2 Ca 3.17, 6 Sr 3.24-3.29

Values from the calculation:
* calculated volume: 292.9 Å³/cell
* calculated formation energy: -61.4 kJ/mol of atoms
* raw total energy: -3.37 eV per atom
* total magnetization: 0.000 μB/f.u.


No. 10
The following is a PBEsol calculation of crystalline CsP2Pb2 at its relaxed geometry, from Alexandria.

Cell: 6.8668 6.8668 6.8668 Å, 136.37 136.37 63.41°
With the nearest neighbours (Å) after each atom.
Element x y z (fractional)
Cs 0.0000 0.0000 0.0000  8 P 3.88, 10 Pb 4.02-4.07
P 0.2500 0.7500 0.5000  4 Pb 2.80
P 0.7500 0.2500 0.5000  4 Pb 2.80
Pb 0.3480 0.3480 0.0000  4 P 2.80
Pb 0.6520 0.6520 0.0000  4 P 2.80

Values from the calculation:
* calculated volume: 152.2 Å³/cell
* calculated formation energy: -0.4 kJ/mol of atoms
* raw total energy: -4.11 eV per atom
* total magnetization: 0.001 μB/f.u.